GGA-PBE Ac5YPb6, relaxed; final energy = -4.563 eV/atom; spin magnetization = 0.3 μB per formula unit
1.0
-2.189 -5.595 1.312
-4.406 -6.320 -5.762
5.825 -6.804 -5.023
Ac Pb Y
5 6 1
Cartesian
1.908 -8.320 -3.614 Ac
-3.298 -5.957 -2.225 Ac
-2.679 -10.398 -5.859 Ac
1.037 -8.790 -7.215 Ac
0.381 -4.333 -3.571 Ac
-1.309 -7.322 -4.815 Pb
-0.651 -11.781 -8.459 Pb
-0.120 -6.937 -1.014 Pb
-5.015 -8.959 -3.554 Pb
0.538 -11.396 -4.659 Pb
-1.580 -2.955 -0.896 Pb
0.000 0.000 0.000 Y



GGA-PBE TbSm5Pb4, relaxed; final energy = -4.671 eV/atom; spin magnetization = 0.0 μB per formula unit
1.0
5.446 0.000 0.000
0.000 6.762 -2.797
-2.723 -3.550 10.453
Sm Pb Tb
5 4 1
Cartesian
0.000 4.489 1.132 Sm
2.723 2.190 5.087 Sm
0.000 1.023 2.569 Sm
2.723 -1.276 6.525 Sm
2.723 3.381 -1.399 Sm
2.723 -0.557 3.382 Pb
2.723 1.482 8.212 Pb
0.000 3.769 4.274 Pb
0.000 1.731 -0.556 Pb
2.723 0.000 0.000 Tb



Number 1: ΔH_f (0 K) -0.458 eV/atom. Number 2: ΔH_f (0 K) -0.365 eV/atom.